YCo2Cu | PBE | optimized geometry

Summary:
SG ... C2/m (12)
DFT formation energy ... 342 meV per atom
Total energy ... -5.8511 eV per atom
Magnetic moment ... 2.2 Bohr magnetons per cell
Energy above the lowest structure with this stoichiometry ... 173 kJ/mol of formula units
N(E_F) ... 1.11 states/eV/atom

Cell: 5.0869 5.0869 2.9532 Å, 103.57 103.57 116.87°
Element x y z (fractional)
Y: 0.0000 0.0000 0.0000
Co: 0.0000 0.5000 0.5000
Co: 0.5000 0.0000 0.5000
Cu: 0.5000 0.5000 0.0000

---

Si3PtPb | PBE | optimized geometry

Summary:
SG ... Pm-3m (221)
Total energy ... -4.7598 eV per atom
Magnetic moment ... 0.0 Bohr magnetons per cell
Formation energy from raw total energies ... 214 kJ/mol of formula units
Energy above the lowest structure with this stoichiometry ... 0 kJ/mol of formula units
N(E_F) ... 0.63 states/eV/atom

Cell: 4.8033 4.8033 4.8033 Å, 90.00 90.00 90.00°
Element x y z (fractional)
Si: 0.0000 0.0000 0.5000
Si: 0.0000 0.5000 0.0000
Si: 0.5000 0.0000 0.0000
Pt: 0.0000 0.0000 0.0000
Pb: 0.5000 0.5000 0.5000

---

Tb4ThSb5 | PBE | optimized geometry

Summary:
SG ... I4/mmm (139)
Total energy ... -5.7594 eV per atom
Magnetic moment ... 0.0 Bohr magnetons per cell
Formation energy from raw total energies ... -1065 kJ/mol of formula units
Energy above the lowest structure with this stoichiometry ... 2 kJ/mol of formula units
N(E_F) ... 0.26 states/eV/atom

Cell: 15.9456 15.9456 15.9456 Å, 164.02 164.02 22.67°
Element x y z (fractional)
Tb: 0.1017 0.1017 0.0000
Tb: 0.2991 0.2991 0.0000
Tb: 0.7009 0.7009 0.0000
Tb: 0.8983 0.8983 0.0000
Th: 0.5000 0.5000 0.0000
Sb: 0.0000 0.0000 0.0000
Sb: 0.2001 0.2001 0.0000
Sb: 0.3988 0.3988 0.0000
Sb: 0.6012 0.6012 0.0000
Sb: 0.7999 0.7999 0.0000

---

MgCo2N2 | PBE | optimized geometry

Summary:
SG ... P1 (1)
Total energy ... -6.4418 eV per atom
Magnetic moment ... 0.0 Bohr magnetons per cell
Formation energy from raw total energies ... 24 kJ/mol of formula units
Energy above the lowest structure with this stoichiometry ... 0 kJ/mol of formula units
N(E_F) ... 0.72 states/eV/atom

Cell: 3.5200 3.7686 3.9312 Å, 76.25 85.48 79.55°
Element x y z (fractional)
Mg: 0.0000 0.0000 0.0000
Co: 0.2948 0.3270 0.3939
Co: 0.7162 0.6599 0.6201
N: 0.2003 0.8250 0.5214
N: 0.7581 0.5057 0.1532

---

Li3Ce3ZnSe8 | PBE | optimized geometry

Summary:
SG ... C2/m (12)
Total energy ... -4.8677 eV per atom
Magnetic moment ... 1.1 Bohr magnetons per cell
Formation energy from raw total energies ... -1961 kJ/mol of formula units
N(E_F) ... 1.06 states/eV/atom

Cell: 7.9788 7.9788 7.9785 Å, 118.06 118.06 61.89°
Element x y z (fractional)
Li: 0.0000 0.0000 0.0000
Li: 0.0000 0.5000 0.5000
Li: 0.5000 0.0000 0.5000
Ce: 0.0000 0.5000 0.0000
Ce: 0.5000 0.0000 0.0000
Ce: 0.5000 0.5000 0.5000
Zn: 0.0000 0.0000 0.5000
Se: 0.2370 0.7601 0.7401
Se: 0.2399 0.7630 0.2599
Se: 0.2415 0.2415 0.7388
Se: 0.2458 0.2458 0.2545
Se: 0.7542 0.7542 0.7455
Se: 0.7585 0.7585 0.2612
Se: 0.7601 0.2370 0.7401
Se: 0.7630 0.2399 0.2599

---

Pm3Sm2Sc | PBE | optimized geometry

Summary:
SG ... Cmc2_1 (36)
DFT formation energy ... 221 meV per atom
Total energy ... -4.7829 eV per atom
Magnetic moment ... 0.0 Bohr magnetons per cell
Energy above the lowest structure with this stoichiometry ... 106 kJ/mol of formula units
N(E_F) ... 1.77 states/eV/atom

Cell: 8.0635 8.0635 6.4457 Å, 90.00 90.00 108.39°
Element x y z (fractional)
Pm: 0.0770 0.9230 0.5000
Pm: 0.2454 0.3933 0.2548
Pm: 0.3933 0.2454 0.7548
Pm: 0.6067 0.7546 0.2548
Pm: 0.7546 0.6067 0.7548
Pm: 0.9230 0.0770 0.0000
Sm: 0.1317 0.4970 0.7352
Sm: 0.4970 0.1317 0.2352
Sm: 0.5030 0.8683 0.7352
Sm: 0.8683 0.5030 0.2352
Sc: 0.1818 0.8182 0.0326
Sc: 0.8182 0.1818 0.5326

---

Er4Ge2C | PBE | optimized geometry

Summary:
SG ... C2/m (12)
DFT formation energy ... -613 meV per atom
Total energy ... -5.8577 eV per atom
Magnetic moment ... 0.2 Bohr magnetons per cell
Energy above the lowest structure with this stoichiometry ... 38 kJ/mol of formula units
N(E_F) ... 0.90 states/eV/atom

Cell: 6.0104 6.0104 8.1408 Å, 121.87 121.87 38.26°
Element x y z (fractional)
Er: 0.0797 0.0797 0.3447
Er: 0.3397 0.3397 0.9266
Er: 0.6603 0.6603 0.0734
Er: 0.9203 0.9203 0.6553
Ge: 0.3747 0.3747 0.3411
Ge: 0.6253 0.6253 0.6589
C: 0.0000 0.0000 0.0000

---

Al2CoPb | PBE | optimized geometry

Summary:
SG ... Cm (8)
DFT formation energy ... 41 meV per atom
Total energy ... -4.5342 eV per atom
Magnetic moment ... 0.0 Bohr magnetons per cell
N(E_F) ... 0.49 states/eV/atom

Cell: 4.5211 4.5211 6.5704 Å, 109.53 109.53 38.10°
Element x y z (fractional)
Al: 0.0000 0.0000 0.0000
Al: 0.1925 0.1925 0.7149
Co: 0.7258 0.7258 0.0131
Pb: 0.3564 0.3564 0.3926

---

La3BiSN | PBE | optimized geometry

Summary:
SG ... P2_1/m (11)
Total energy ... -6.6557 eV per atom
Magnetic moment ... 0.0 Bohr magnetons per cell
Formation energy from raw total energies ... -851 kJ/mol of formula units
N(E_F) ... 0.56 states/eV/atom

Cell: 8.9573 4.3314 9.6502 Å, 90.00 103.28 90.00°
Element x y z (fractional)
La: 0.0680 0.2500 0.3471
La: 0.3344 0.2500 0.9780
La: 0.3926 0.7500 0.6582
La: 0.6074 0.2500 0.3418
La: 0.6656 0.7500 0.0220
La: 0.9320 0.7500 0.6529
Bi: 0.3089 0.7500 0.2734
Bi: 0.6911 0.2500 0.7266
S: 0.1583 0.2500 0.6519
S: 0.8417 0.7500 0.3481
N: 0.4101 0.7500 0.8961
N: 0.5899 0.2500 0.1039

---

Y3P | PBE | optimized geometry

Summary:
SG ... R-3m (166)
DFT formation energy ... -706 meV per atom
Total energy ... -6.9061 eV per atom
Magnetic moment ... 0.1 Bohr magnetons per cell
Energy above the lowest structure with this stoichiometry ... 0 kJ/mol of formula units
N(E_F) ... 1.28 states/eV/atom

Cell: 9.6340 9.6340 9.6340 Å, 22.80 22.80 22.80°
Element x y z (fractional)
Y: 0.0000 0.0000 0.0000
Y: 0.2249 0.2249 0.2249
Y: 0.7751 0.7751 0.7751
P: 0.5000 0.5000 0.5000

---

AlZnSnHg | PBE | optimized geometry

Summary:
SG ... F-43m (216)
DFT formation energy ... 224 meV per atom
Total energy ... -2.1058 eV per atom
Magnetic moment ... 0.0 Bohr magnetons per cell
N(E_F) ... 0.92 states/eV/atom

Cell: 4.9781 4.9781 4.9781 Å, 60.00 60.00 60.00°
Element x y z (fractional)
Al: 0.0000 0.0000 0.0000
Zn: 0.5000 0.5000 0.5000
Sn: 0.2500 0.2500 0.2500
Hg: 0.7500 0.7500 0.7500

---

V3FePt4 | PBE | optimized geometry

Summary:
SG ... Pmmm (47)
DFT formation energy ... -301 meV per atom
Total energy ... -7.7988 eV per atom
Magnetic moment ... 3.2 Bohr magnetons per cell
N(E_F) ... 1.31 states/eV/atom

Cell: 2.6954 4.6673 9.3341 Å, 90.00 90.00 90.00°
Element x y z (fractional)
V: 0.0000 0.0000 0.0000
V: 0.0000 0.5000 0.2524
V: 0.0000 0.5000 0.7476
Fe: 0.0000 0.0000 0.5000
Pt: 0.5000 0.0000 0.2466
Pt: 0.5000 0.0000 0.7534
Pt: 0.5000 0.5000 0.0000
Pt: 0.5000 0.5000 0.5000

---

Zr9Co2P4 | PBE | optimized geometry

Summary:
SG ... P4/mbm (127)
DFT formation energy ... -954 meV per atom
Total energy ... -8.4726 eV per atom
Magnetic moment ... 0.0 Bohr magnetons per cell
N(E_F) ... 1.00 states/eV/atom

Cell: 12.0950 12.0950 3.6698 Å, 90.00 90.00 90.00°
Element x y z (fractional)
Zr: 0.0000 0.0000 0.0000
Zr: 0.0958 0.4042 0.0000
Zr: 0.1046 0.1809 0.5000
Zr: 0.1215 0.6215 0.5000
Zr: 0.1809 0.8954 0.5000
Zr: 0.3191 0.3954 0.5000
Zr: 0.3785 0.1215 0.5000
Zr: 0.3954 0.6809 0.5000
Zr: 0.4042 0.9042 0.0000
Zr: 0.5000 0.5000 0.0000
Zr: 0.5958 0.0958 0.0000
Zr: 0.6046 0.3191 0.5000
Zr: 0.6215 0.8785 0.5000
Zr: 0.6809 0.6046 0.5000
Zr: 0.8191 0.1046 0.5000
Zr: 0.8785 0.3785 0.5000
Zr: 0.8954 0.8191 0.5000
Zr: 0.9042 0.5958 0.0000
Co: 0.2502 0.2498 0.0000
Co: 0.2498 0.7498 0.0000
Co: 0.7502 0.2502 0.0000
Co: 0.7498 0.7502 0.0000
P: 0.0572 0.7750 0.0000
P: 0.2250 0.0572 0.0000
P: 0.2750 0.5572 0.0000
P: 0.4428 0.2750 0.0000
P: 0.5572 0.7250 0.0000
P: 0.7250 0.4428 0.0000
P: 0.7750 0.9428 0.0000
P: 0.9428 0.2250 0.0000

---

Pr15SmHo4 | PBE | optimized geometry

Summary:
SG ... P4/mmm (123)
DFT formation energy ... 11 meV per atom
Total energy ... -4.7255 eV per atom
Magnetic moment ... 0.0 Bohr magnetons per cell
N(E_F) ... 1.39 states/eV/atom

Cell: 5.2005 5.2005 25.8739 Å, 90.00 90.00 90.00°
Element x y z (fractional)
Pr: 0.0000 0.0000 0.0000
Pr: 0.0000 0.0000 0.2010
Pr: 0.0000 0.0000 0.4001
Pr: 0.0000 0.0000 0.5999
Pr: 0.0000 0.0000 0.7990
Pr: 0.0000 0.5000 0.1010
Pr: 0.0000 0.5000 0.3004
Pr: 0.0000 0.5000 0.5000
Pr: 0.0000 0.5000 0.6996
Pr: 0.0000 0.5000 0.8990
Pr: 0.5000 0.0000 0.1010
Pr: 0.5000 0.0000 0.3004
Pr: 0.5000 0.0000 0.5000
Pr: 0.5000 0.0000 0.6996
Pr: 0.5000 0.0000 0.8990
Sm: 0.5000 0.5000 0.0000
Ho: 0.5000 0.5000 0.2008
Ho: 0.5000 0.5000 0.4002
Ho: 0.5000 0.5000 0.5998
Ho: 0.5000 0.5000 0.7992

---

Sm2IBr | PBE | optimized geometry

Summary:
SG ... R3m (160)
Total energy ... -4.1236 eV per atom
Magnetic moment ... 0.0 Bohr magnetons per cell
Formation energy from raw total energies ... -370 kJ/mol of formula units
Energy above the lowest structure with this stoichiometry ... 0 kJ/mol of formula units
N(E_F) ... 0.37 states/eV/atom

Cell: 9.6701 9.6701 9.6701 Å, 22.51 22.51 22.51°
Element x y z (fractional)
Sm: 0.0000 0.0000 0.0000
Sm: 0.1687 0.1687 0.1687
I: 0.4180 0.4180 0.4180
Br: 0.5842 0.5842 0.5842

---

InAsO2 | PBE | optimized geometry

Summary:
SG ... R-3m (166)
Total energy ... -5.0228 eV per atom
Magnetic moment ... 0.0 Bohr magnetons per cell
Formation energy from raw total energies ... -269 kJ/mol of formula units
Energy above the lowest structure with this stoichiometry ... 131 kJ/mol of formula units
N(E_F) ... 0.08 states/eV/atom

Cell: 7.0911 7.0911 7.0911 Å, 25.97 25.97 25.97°
Element x y z (fractional)
In: 0.0000 0.0000 0.0000
As: 0.5000 0.5000 0.5000
O: 0.1110 0.1110 0.1110
O: 0.8890 0.8890 0.8890

---

Pu2Al3CuAu4 | PBE | optimized geometry

Summary:
SG ... P-4m2 (115)
DFT formation energy ... -409 meV per atom
Total energy ... -6.1190 eV per atom
Magnetic moment ... 11.3 Bohr magnetons per cell
N(E_F) ... 2.87 states/eV/atom

Cell: 4.3328 4.3328 10.7526 Å, 90.00 90.00 90.00°
Element x y z (fractional)
Pu: 0.0000 0.5000 0.2439
Pu: 0.5000 0.0000 0.7561
Al: 0.0000 0.0000 0.0000
Al: 0.0000 0.5000 0.6320
Al: 0.5000 0.0000 0.3680
Cu: 0.5000 0.5000 0.0000
Au: 0.0000 0.0000 0.5000
Au: 0.0000 0.5000 0.8644
Au: 0.5000 0.0000 0.1356
Au: 0.5000 0.5000 0.5000

---

FeSi2Cl | PBE | optimized geometry

Summary:
SG ... C2/m (12)
Total energy ... -4.9122 eV per atom
Magnetic moment ... 1.8 Bohr magnetons per cell
Formation energy from raw total energies ... 145 kJ/mol of formula units
Energy above the lowest structure with this stoichiometry ... 108 kJ/mol of formula units
N(E_F) ... 0.60 states/eV/atom

Cell: 4.9392 4.9392 2.7533 Å, 106.10 106.10 85.45°
Element x y z (fractional)
Fe: 0.0000 0.0000 0.0000
Si: 0.0000 0.5000 0.0000
Si: 0.5000 0.0000 0.0000
Cl: 0.5000 0.5000 0.0000

---

Cs12RbO3 | PBE | optimized geometry

Summary:
SG ... R3c (161)
Total energy ... -2.1954 eV per atom
Magnetic moment ... 0.0 Bohr magnetons per cell
Formation energy from raw total energies ... -872 kJ/mol of formula units
N(E_F) ... 0.60 states/eV/atom

Cell: 17.3446 17.3446 17.3446 Å, 53.50 53.50 53.50°
Element x y z (fractional)
Cs: 0.0673 0.4757 0.0901
Cs: 0.0901 0.0673 0.4757
Cs: 0.1249 0.2503 0.6248
Cs: 0.1248 0.7503 0.6249
Cs: 0.1888 0.8474 0.7487
Cs: 0.2487 0.3474 0.6888
Cs: 0.2503 0.6248 0.1249
Cs: 0.3424 0.9008 0.9504
Cs: 0.3474 0.6888 0.2487
Cs: 0.4008 0.8424 0.4504
Cs: 0.4504 0.4008 0.8424
Cs: 0.4757 0.0901 0.0673
Cs: 0.5673 0.5901 0.9757
Cs: 0.5901 0.9757 0.5673
Cs: 0.6248 0.1249 0.2503
Cs: 0.6249 0.1248 0.7503
Cs: 0.6888 0.2487 0.3474
Cs: 0.7487 0.1888 0.8474
Cs: 0.7503 0.6249 0.1248
Cs: 0.8424 0.4504 0.4008
Cs: 0.8474 0.7487 0.1888
Cs: 0.9008 0.9504 0.3424
Cs: 0.9504 0.3424 0.9008
Cs: 0.9757 0.5673 0.5901
Rb: 0.4984 0.4984 0.4984
Rb: 0.9984 0.9984 0.9984
O: 0.0723 0.3783 0.7010
O: 0.2010 0.8783 0.5723
O: 0.3783 0.7010 0.0723
O: 0.5723 0.2010 0.8783
O: 0.7010 0.0723 0.3783
O: 0.8783 0.5723 0.2010

---

Eu2HgAs | PBE | optimized geometry

Summary:
SG ... R-3m (166)
DFT formation energy ... -834 meV per atom
Total energy ... -7.2087 eV per atom
Magnetic moment ... 14.5 Bohr magnetons per cell
Energy above the lowest structure with this stoichiometry ... 6 kJ/mol of formula units
N(E_F) ... 5.27 states/eV/atom

Cell: 7.9284 7.9284 7.9284 Å, 32.53 32.53 32.53°
Element x y z (fractional)
Eu: 0.2366 0.2366 0.2366
Eu: 0.7634 0.7634 0.7634
Hg: 0.0000 0.0000 0.0000
As: 0.5000 0.5000 0.5000

---

KCoPt2 | PBE | optimized geometry

Summary:
SG ... P4mm (99)
DFT formation energy ... 348 meV per atom
Total energy ... -4.7232 eV per atom
Magnetic moment ... 2.1 Bohr magnetons per cell
Energy above the lowest structure with this stoichiometry ... 94 kJ/mol of formula units
N(E_F) ... 1.38 states/eV/atom

Cell: 2.8715 2.8715 8.9026 Å, 90.00 90.00 90.00°
Element x y z (fractional)
K: 0.0000 0.0000 0.0000
Co: 0.5000 0.5000 0.6841
Pt: 0.0000 0.0000 0.5138
Pt: 0.5000 0.5000 0.2889

---

InRe2W | PBE | optimized geometry

Summary:
SG ... R3m (160)
DFT formation energy ... 357 meV per atom
Total energy ... -9.7898 eV per atom
Magnetic moment ... 0.0 Bohr magnetons per cell
N(E_F) ... 0.42 states/eV/atom

Cell: 9.5608 9.5608 9.5608 Å, 17.17 17.17 17.17°
Element x y z (fractional)
In: 0.0000 0.0000 0.0000
Re: 0.4957 0.4957 0.4957
Re: 0.7543 0.7543 0.7543
W: 0.2443 0.2443 0.2443

---

SnPbAu3 | PBE | optimized geometry

Summary:
SG ... Pm-3m (221)
DFT formation energy ... 582 meV per atom
Total energy ... -2.9270 eV per atom
Magnetic moment ... 0.0 Bohr magnetons per cell
Energy above the lowest structure with this stoichiometry ... 322 kJ/mol of formula units
N(E_F) ... 0.71 states/eV/atom

Cell: 5.3268 5.3268 5.3268 Å, 90.00 90.00 90.00°
Element x y z (fractional)
Sn: 0.0000 0.0000 0.0000
Pb: 0.5000 0.5000 0.5000
Au: 0.0000 0.5000 0.5000
Au: 0.5000 0.0000 0.5000
Au: 0.5000 0.5000 0.0000